The following is a DFT calculation (PBE) of LaLuScTl after structural relaxation.

Computed properties:
Formation enthalpy at 0 K (eV per atom): -0.05

Geometry as CIF:
```
data_LaLuScTl
_cell_length_a 7.655
_cell_length_b 7.655
_cell_length_c 7.655
_cell_angle_alpha 90.00
_cell_angle_beta 90.00
_cell_angle_gamma 90.00
_symmetry_space_group_name_H-M 'F -4 3 m'
_symmetry_Int_Tables_number 216
_symmetry_space_group_name_Hall 'F -4 2 3'
loop_
_atom_site_label
_atom_site_type_symbol
_atom_site_fract_x
_atom_site_fract_y
_atom_site_fract_z
La1 La 0.000 0.000 0.000
Lu1 Lu 0.250 0.250 0.750
Sc1 Sc 0.000 0.000 0.500
Tl1 Tl 0.250 0.250 0.250
```